A relaxed structure of NiPtN2F. Source: Alexandria via LeMat-Bulk, functional GGA+U.

Cell lengths 3.862, 3.862, 3.610 Å; angles 90.00, 90.00, 90.00 degrees
Fractional positions:
1 Ni 0.000 0.000 0.000
2 Pt 0.500 0.500 0.500
3 N 0.000 0.500 0.000
4 N 0.500 0.000 0.000
5 F 0.000 0.000 0.500

Electronic total energy, eV/atom: -4.26
Energy above the lowest structure with this stoichiometry, eV per atom: 0.2805
Symmetry: P4/mmm